Entry from Alexandria via LeMat-Bulk: LuB2Os after structural relaxation (GGA-PBEsol).

Cell lengths 5.754, 5.221, 6.252 Å; angles 90.00, 90.00, 90.00 degrees
Space group Pnma (No. 62)
Inequivalent atoms, fractional coordinates:
Lu 0.009 0.250 0.167 (multiplicity 4)
B 0.141 0.581 0.463 (multiplicity 8)
Os 0.177 0.250 0.681 (multiplicity 4)

Properties
- DFT formation energy (eV/atom) = -0.695